Computed, not measured: a crystal of La2In relaxed with PBEsol at the SCAN level of DFT.

Output
- Calculated formation energy: -0.4999 eV/atom
- SG: P-62m, No. 189

a b c (Å): 4.551 8.557 8.557
angles (deg): 120.00 90.00 90.00
Atoms (fractional coordinates):
La (0.500, 0.593, 0.000)
La (0.500, 0.000, 0.593)
La (0.000, 0.729, 0.729)
La (0.500, 0.407, 0.407)
La (0.000, 0.271, 0.000)
La (0.000, 0.000, 0.271)
In (0.000, 0.333, 0.667)
In (0.000, 0.667, 0.333)
In (0.500, 0.000, 0.000)